1.
A geometry-optimized Pu2Bi3 structure. Source: Alexandria, functional PBE.

The structure in POSCAR format:
```
Pu2Bi3
1.0
4.494 0.000 0.000
2.247 5.765 -1.130
2.247 1.185 5.754
Bi Pu
3 2
direct
0.000 0.000 0.000 Bi
0.500 0.294 0.706 Bi
0.500 0.706 0.294 Bi
0.784 0.716 0.716 Pu
0.216 0.284 0.284 Pu
```

Spin magnetization = 11.000 μB per cell
Mass density = 11.94 Mg/m³
Symmetry = No. 71
Calculated total energy = -41.79 eV/cell
Volume = 155.1 Å³ per cell
Polymorph energy (0 for the lowest one) = 0.0 meV/atom
ΔE_f = -0.2969 eV/atom

=====

2.
A geometry-optimized PuBi4 structure. Source: Alexandria, functional PBE.

The structure in POSCAR format:
```
PuBi4
1.0
-4.845 3.271 -0.586
-0.225 -1.357 -5.712
-3.316 -4.688 1.244
Bi Pu
4 1
direct
0.000 0.500 0.500 Bi
0.500 0.000 0.500 Bi
0.500 0.500 0.000 Bi
0.000 0.000 0.000 Bi
0.500 0.500 0.500 Pu
```

Spin magnetization = 4.941 μB per cell
Mass density = 8.84 Mg/m³
Symmetry = No. 221
Calculated total energy = -26.84 eV/cell
Volume = 202.8 Å³ per cell
ΔE_f = 0.6031 eV/atom

=====

3.
A geometry-optimized Pu3Bi structure. Source: Alexandria, functional PBE.

The structure in POSCAR format:
```
Pu3Bi
1.0
4.619 0.000 0.000
0.000 4.619 0.000
0.000 0.000 4.821
Pu Bi
3 1
direct
0.000 0.500 0.417 Pu
0.500 0.500 0.917 Pu
0.500 0.000 0.417 Pu
0.000 0.000 0.917 Bi
```

Spin magnetization = 5.655 μB per cell
Mass density = 15.19 Mg/m³
Symmetry = No. 123
Calculated total energy = -47.38 eV/cell
Volume = 102.9 Å³ per cell
ΔE_f = -0.1246 eV/atom

=====

4.
A geometry-optimized Pu4Bi3 structure. Source: Alexandria, functional PBE.

The structure in POSCAR format:
```
Pu4Bi3
1.0
8.229 0.000 0.000
-2.743 7.759 0.000
-2.743 -3.879 6.719
Pu Bi
8 6
direct
0.844 0.844 0.844 Pu
0.156 0.500 0.000 Pu
0.000 0.156 0.500 Pu
0.500 0.000 0.656 Pu
0.500 0.000 0.156 Pu
0.344 0.344 0.344 Pu
0.656 0.500 0.000 Pu
0.000 0.656 0.500 Pu
0.875 0.250 0.125 Bi
0.125 0.875 0.250 Bi
0.625 0.750 0.375 Bi
0.750 0.375 0.625 Bi
0.375 0.625 0.750 Bi
0.250 0.125 0.875 Bi
```

Spin magnetization = 45.998 μB per cell
Mass density = 12.41 Mg/m³
Symmetry = No. 220
Calculated total energy = -143.37 eV/cell
Volume = 429.0 Å³ per cell
ΔE_f = -0.3879 eV/atom

=====

5.
A geometry-optimized PuBi6 structure. Source: Alexandria, functional PBE.

The structure in POSCAR format:
```
PuBi6
1.0
7.617 0.000 0.000
-2.539 7.181 0.000
-2.539 -3.591 6.219
Bi Pu
6 1
direct
0.250 0.500 0.750 Bi
0.250 0.750 0.500 Bi
0.750 0.500 0.250 Bi
0.500 0.750 0.250 Bi
0.500 0.250 0.750 Bi
0.750 0.250 0.500 Bi
0.000 0.000 0.000 Pu
```

Spin magnetization = 6.330 μB per cell
Mass density = 7.31 Mg/m³
Symmetry = No. 229
Calculated total energy = -34.13 eV/cell
Volume = 340.2 Å³ per cell
ΔE_f = 0.4977 eV/atom

=====

6.
A geometry-optimized Pu2Bi structure. Source: Alexandria, functional PBE.

The structure in POSCAR format:
```
Pu2Bi
1.0
6.143 0.000 0.000
3.071 5.320 0.000
3.071 1.773 5.016
Pu Bi
4 2
direct
0.625 0.625 0.125 Pu
0.625 0.625 0.625 Pu
0.125 0.625 0.625 Pu
0.625 0.125 0.625 Pu
0.250 0.250 0.250 Bi
0.000 0.000 0.000 Bi
```

Spin magnetization = 23.146 μB per cell
Mass density = 14.12 Mg/m³
Symmetry = No. 227
Calculated total energy = -65.43 eV/cell
Volume = 163.9 Å³ per cell
ΔE_f = -0.0565 eV/atom

=====

7.
A geometry-optimized PuBi2 structure. Source: Alexandria, functional PBE.

The structure in POSCAR format:
```
PuBi2
1.0
-0.721 3.271 2.408
2.318 -1.676 2.972
3.471 1.600 -4.666
Bi Pu
2 1
direct
0.158 0.158 0.316 Bi
0.842 0.842 0.684 Bi
0.500 0.500 0.000 Pu
```

Spin magnetization = 5.803 μB per cell
Mass density = 12.23 Mg/m³
Symmetry = No. 139
Calculated total energy = -22.61 eV/cell
Volume = 89.8 Å³ per cell
ΔE_f = -0.1711 eV/atom

=====

8.
A geometry-optimized Pu2Bi structure. Source: Alexandria, functional PBE.

The structure in POSCAR format:
```
Pu2Bi
1.0
-5.136 -0.897 1.839
-1.318 -3.274 -5.279
2.932 -8.053 4.261
Pu Bi
8 4
direct
0.750 0.500 0.750 Pu
0.750 0.750 0.417 Pu
0.250 0.500 0.250 Pu
0.250 0.750 0.917 Pu
0.250 0.000 0.250 Pu
0.250 0.250 0.583 Pu
0.750 0.250 0.083 Pu
0.750 0.000 0.750 Pu
0.250 0.250 0.917 Bi
0.750 0.250 0.417 Bi
0.750 0.750 0.083 Bi
0.250 0.750 0.583 Bi
```

Spin magnetization = 1.524 μB per cell
Mass density = 13.78 Mg/m³
Symmetry = No. 194
Calculated total energy = -131.82 eV/cell
Volume = 336.0 Å³ per cell
ΔE_f = -0.1366 eV/atom